Entry 1:
# RbAsI2N, PBEsol geometry, DFT SCAN
# E_form (uncorrected) = 1.125 eV per atom
# crystal system = tetragonal
data_RbAsI2N
_chemical_formula_sum 'Rb1 As1 I2 N1'
_symmetry_space_group_name_H-M 'P 4/m m m'
_symmetry_Int_Tables_number 123
_symmetry_space_group_name_Hall '-P 4 2'
_cell_length_a 6.639
_cell_length_b 6.639
_cell_length_c 5.301
_cell_angle_alpha 90.00
_cell_angle_beta 90.00
_cell_angle_gamma 90.00
loop_
_atom_site_label
_atom_site_type_symbol
_atom_site_fract_x
_atom_site_fract_y
_atom_site_fract_z
Rb1 Rb 0.000 0.000 0.000
As1 As 0.500 0.500 0.500
I1 I 0.000 0.500 0.000
N1 N 0.000 0.000 0.500

Entry 2:
# MnNbCl2, PBEsol geometry, DFT SCAN
# E_form (uncorrected) = 0.102 eV per atom
# excess energy over the best structure of this formula in the dataset = 633.6 meV per atom
# crystal system = cubic
data_MnNbCl2
_chemical_formula_sum 'Mn4 Nb4 Cl8'
_symmetry_space_group_name_H-M 'F m -3 m'
_symmetry_Int_Tables_number 225
_symmetry_space_group_name_Hall '-F 4 2 3'
_cell_length_a 6.192
_cell_length_b 6.192
_cell_length_c 6.192
_cell_angle_alpha 90.00
_cell_angle_beta 90.00
_cell_angle_gamma 90.00
loop_
_atom_site_label
_atom_site_type_symbol
_atom_site_fract_x
_atom_site_fract_y
_atom_site_fract_z
Mn1 Mn 0.000 0.000 0.000
Nb1 Nb 0.000 0.000 0.500
Cl1 Cl 0.250 0.250 0.250

Entry 3:
# AlSb2OsF, PBEsol geometry, DFT SCAN
# E_form (uncorrected) = 0.891 eV per atom
# crystal system = tetragonal
data_AlSb2OsF
_chemical_formula_sum 'Al1 Sb2 Os1 F1'
_symmetry_space_group_name_H-M 'P 4/m m m'
_symmetry_Int_Tables_number 123
_symmetry_space_group_name_Hall '-P 4 2'
_cell_length_a 5.098
_cell_length_b 5.098
_cell_length_c 4.501
_cell_angle_alpha 90.00
_cell_angle_beta 90.00
_cell_angle_gamma 90.00
loop_
_atom_site_label
_atom_site_type_symbol
_atom_site_fract_x
_atom_site_fract_y
_atom_site_fract_z
Al1 Al 0.000 0.000 0.000
Sb1 Sb 0.000 0.500 0.000
Os1 Os 0.000 0.000 0.500
F1 F 0.500 0.500 0.500